1.
# Tb4Nd5Y3

A relaxed Tb4Nd5Y3 crystal (PBE-GGA, the Alexandria database).

Cell lengths 18.4497, 5.7550, 8.8162 Å; angles 90.00, 118.46, 90.00 degrees
Space group C2/m (No. 12)
Symmetry-distinct sites (fractional):
Tb: 0.0304 0.0000 0.1991
Tb: 0.2010 0.0000 0.1482
Nd: 0.0000 0.0000 0.5000
Nd: 0.1108 0.5000 0.9303
Nd: 0.1622 0.5000 0.3954
Y: 0.0000 0.5000 0.5000
Y: 0.1827 0.0000 0.7181

2.
# Tb3Nd2Y6Zr

A relaxed Tb3Nd2Y6Zr crystal (PBE-GGA, the Alexandria database).

Cell lengths 6.1552, 10.6487, 11.7433 Å; angles 90.00, 100.00, 90.00 degrees
Space group C2/m (No. 12)
Symmetry-distinct sites (fractional):
Tb: 0.0000 0.0000 0.0000
Tb: 0.0000 0.3337 0.0000
Nd: 0.0000 0.1667 0.5000
Y: 0.2440 0.5000 0.2533
Y: 0.2454 0.3368 0.7469
Zr: 0.0000 0.5000 0.5000

no.,energy relative to the elements (eV per atom)
1,0.2564
2,0.0548